## Li2LaIn2AgAu2 (GGA-PBE)

Data for Li2LaIn2AgAu2 after structural relaxation.

Unit cell a=4.891 b=4.891 c=6.980 alpha=90.00 beta=90.00 gamma=90.00
Fractional coordinates of all 8 atoms:
Li  0.000  0.500  0.186
Li  0.500  0.000  0.814
La  0.000  0.000  0.500
In  0.000  0.000  0.000
In  0.500  0.500  0.500
Ag  0.500  0.500  0.000
Au  0.000  0.500  0.766
Au  0.500  0.000  0.234

Properties
Raw total energy in eV/f.u.: -26.85

## Li2MgIn2AgAu2 (GGA-PBE)

Data for Li2MgIn2AgAu2 after structural relaxation.

Unit cell a=4.689 b=4.689 c=6.623 alpha=90.00 beta=90.00 gamma=90.00
Fractional coordinates of all 8 atoms:
Li  0.000  0.500  0.235
Li  0.500  0.000  0.765
Mg  0.000  0.000  0.500
In  0.000  0.000  0.000
In  0.500  0.500  0.500
Ag  0.500  0.500  0.000
Au  0.000  0.500  0.738
Au  0.500  0.000  0.262

Properties
Raw total energy in eV/f.u.: -23.33

## Li2Mg2InAgAu2 (GGA-PBE)

Data for Li2Mg2InAgAu2 after structural relaxation.

Unit cell a=4.648 b=4.648 c=6.581 alpha=90.00 beta=90.00 gamma=90.00
Fractional coordinates of all 8 atoms:
Li  0.000  0.500  0.233
Li  0.500  0.000  0.767
Mg  0.000  0.000  0.000
Mg  0.500  0.500  0.500
In  0.000  0.000  0.500
Ag  0.500  0.500  0.000
Au  0.000  0.500  0.747
Au  0.500  0.000  0.253

Properties
Raw total energy in eV/f.u.: -22.40

## Li2Mg2In2AgAu (GGA-PBE)

Data for Li2Mg2In2AgAu after structural relaxation.

Unit cell a=4.714 b=4.714 c=6.624 alpha=90.00 beta=90.00 gamma=90.00
Fractional coordinates of all 8 atoms:
Li  0.000  0.000  0.000
Li  0.500  0.500  0.500
Mg  0.000  0.500  0.245
Mg  0.500  0.000  0.755
In  0.000  0.500  0.748
In  0.500  0.000  0.252
Ag  0.000  0.000  0.500
Au  0.500  0.500  0.000

Properties
Raw total energy in eV/f.u.: -21.32

## Li2MgInAg2Au2 (GGA-PBE)

Data for Li2MgInAg2Au2 after structural relaxation.

Unit cell a=4.633 b=4.633 c=6.491 alpha=90.00 beta=90.00 gamma=90.00
Fractional coordinates of all 8 atoms:
Li  0.000  0.000  0.000
Li  0.500  0.500  0.500
Mg  0.000  0.000  0.500
In  0.500  0.500  0.000
Ag  0.000  0.500  0.741
Ag  0.500  0.000  0.259
Au  0.000  0.500  0.263
Au  0.500  0.000  0.737

Properties
Raw total energy in eV/f.u.: -23.39

## Li2Nd2In2AgAu (GGA-PBE)

Data for Li2Nd2In2AgAu after structural relaxation.

Unit cell a=4.970 b=4.970 c=7.031 alpha=90.00 beta=90.00 gamma=90.00
Fractional coordinates of all 8 atoms:
Li  0.000  0.000  0.000
Li  0.500  0.500  0.500
Nd  0.000  0.500  0.746
Nd  0.500  0.000  0.254
In  0.000  0.500  0.248
In  0.500  0.000  0.752
Ag  0.500  0.500  0.000
Au  0.000  0.000  0.500

Properties
Raw total energy in eV/f.u.: -28.96

## Li2Pr2In2AgAu (GGA-PBE)

Data for Li2Pr2In2AgAu after structural relaxation.

Unit cell a=4.995 b=4.995 c=7.066 alpha=90.00 beta=90.00 gamma=90.00
Fractional coordinates of all 8 atoms:
Li  0.000  0.000  0.000
Li  0.500  0.500  0.500
Pr  0.000  0.500  0.746
Pr  0.500  0.000  0.254
In  0.000  0.500  0.248
In  0.500  0.000  0.752
Ag  0.500  0.500  0.000
Au  0.000  0.000  0.500

Properties
Raw total energy in eV/f.u.: -28.94

## LiSc2In2Ag2Au (GGA-PBE)

Data for LiSc2In2Ag2Au after structural relaxation.

Unit cell a=4.785 b=4.785 c=6.747 alpha=90.00 beta=90.00 gamma=90.00
Fractional coordinates of all 8 atoms:
Li  0.000  0.000  0.000
Sc  0.000  0.500  0.741
Sc  0.500  0.000  0.259
In  0.000  0.500  0.241
In  0.500  0.000  0.759
Ag  0.000  0.000  0.500
Ag  0.500  0.500  0.000
Au  0.500  0.500  0.500

Properties
Raw total energy in eV/f.u.: -32.24

## Li2ScIn2Ag2Au (GGA-PBE)

Data for Li2ScIn2Ag2Au after structural relaxation.

Unit cell a=4.732 b=4.732 c=6.635 alpha=90.00 beta=90.00 gamma=90.00
Fractional coordinates of all 8 atoms:
Li  0.000  0.500  0.216
Li  0.500  0.000  0.784
Sc  0.000  0.000  0.500
In  0.000  0.000  0.000
In  0.500  0.500  0.500
Ag  0.000  0.500  0.743
Ag  0.500  0.000  0.257
Au  0.500  0.500  0.000

Properties
Raw total energy in eV/f.u.: -26.86

## Li2YIn2Ag2Au (GGA-PBE)

Data for Li2YIn2Ag2Au after structural relaxation.

Unit cell a=4.779 b=4.779 c=6.919 alpha=90.00 beta=90.00 gamma=90.00
Fractional coordinates of all 8 atoms:
Li  0.000  0.500  0.198
Li  0.500  0.000  0.802
Y  0.000  0.000  0.500
In  0.000  0.000  0.000
In  0.500  0.500  0.500
Ag  0.000  0.500  0.759
Ag  0.500  0.000  0.241
Au  0.500  0.500  0.000

Properties
Raw total energy in eV/f.u.: -27.10

## LuInAgAu (GGA-PBE)

Data for LuInAgAu after structural relaxation.

Unit cell a=4.902 b=4.902 c=4.902 alpha=60.00 beta=60.00 gamma=60.00
Fractional coordinates of all 4 atoms:
Lu  0.000  0.000  0.000
In  0.250  0.250  0.250
Ag  0.500  0.500  0.500
Au  0.750  0.750  0.750

Properties
Raw total energy in eV/f.u.: -14.95

## LuInAgAu (GGA-PBE)

Data for LuInAgAu after structural relaxation.

Unit cell a=4.882 b=4.882 c=4.882 alpha=60.00 beta=60.00 gamma=60.00
Fractional coordinates of all 4 atoms:
Lu  0.000  0.000  0.000
In  0.750  0.750  0.750
Ag  0.250  0.250  0.250
Au  0.500  0.500  0.500

Properties
Raw total energy in eV/f.u.: -14.69

## LuInAgAu (GGA-PBE)

Data for LuInAgAu after structural relaxation.

Unit cell a=4.883 b=4.883 c=4.883 alpha=60.00 beta=60.00 gamma=60.00
Fractional coordinates of all 4 atoms:
Lu  0.000  0.000  0.000
In  0.500  0.500  0.500
Ag  0.250  0.250  0.250
Au  0.750  0.750  0.750

Properties
Raw total energy in eV/f.u.: -15.45

## Pr3Mg3InAgAu (GGA-PBE)

Data for Pr3Mg3InAgAu after structural relaxation.

Unit cell a=7.969 b=7.969 c=4.275 alpha=90.00 beta=90.00 gamma=120.00
Fractional coordinates of all 9 atoms:
Pr  0.015  0.595  0.000
Pr  0.405  0.420  0.000
Pr  0.580  0.985  0.000
Mg  0.242  0.001  0.500
Mg  0.759  0.758  0.500
Mg  0.999  0.241  0.500
In  0.667  0.333  0.500
Ag  0.000  0.000  0.000
Au  0.333  0.667  0.500

Properties
Raw total energy in eV/f.u.: -31.71

## Na2InAg2SnAu2 (GGA-PBE)

Data for Na2InAg2SnAu2 after structural relaxation.

Unit cell a=4.852 b=4.852 c=6.856 alpha=90.00 beta=90.00 gamma=90.00
Fractional coordinates of all 8 atoms:
Na  0.000  0.000  0.000
Na  0.500  0.500  0.500
In  0.000  0.000  0.500
Ag  0.000  0.500  0.749
Ag  0.500  0.000  0.251
Sn  0.500  0.500  0.000
Au  0.000  0.500  0.251
Au  0.500  0.000  0.749

Properties
Raw total energy in eV/f.u.: -23.09

## Na2Y2In2AgAu (GGA-PBE)

Data for Na2Y2In2AgAu after structural relaxation.

Unit cell a=4.991 b=4.991 c=7.066 alpha=90.00 beta=90.00 gamma=90.00
Fractional coordinates of all 8 atoms:
Na  0.000  0.000  0.000
Na  0.500  0.500  0.500
Y  0.000  0.500  0.746
Y  0.500  0.000  0.254
In  0.000  0.500  0.247
In  0.500  0.000  0.753
Ag  0.500  0.500  0.000
Au  0.000  0.000  0.500

Properties
Raw total energy in eV/f.u.: -29.73

## Nd3In3Ag2Au (GGA-PBE)

Data for Nd3In3Ag2Au after structural relaxation.

Unit cell a=7.858 b=7.858 c=4.215 alpha=90.00 beta=90.00 gamma=120.00
Fractional coordinates of all 9 atoms:
Nd  0.000  0.593  0.000
Nd  0.407  0.407  0.000
Nd  0.593  0.000  0.000
In  0.000  0.254  0.500
In  0.254  0.000  0.500
In  0.746  0.746  0.500
Ag  0.333  0.667  0.500
Ag  0.667  0.333  0.500
Au  0.000  0.000  0.000

Properties
Raw total energy in eV/f.u.: -36.07

## Pr3In3NiAgAu (GGA-PBE)

Data for Pr3In3NiAgAu after structural relaxation.

Unit cell a=7.894 b=7.894 c=4.064 alpha=90.00 beta=90.00 gamma=120.00
Fractional coordinates of all 9 atoms:
Pr  0.073  0.734  0.000
Pr  0.266  0.339  0.000
Pr  0.661  0.927  0.000
In  0.425  0.096  0.500
In  0.671  0.575  0.500
In  0.904  0.329  0.500
Ni  0.667  0.333  0.000
Ag  0.000  0.000  0.500
Au  0.333  0.667  0.500

Properties
Raw total energy in eV/f.u.: -39.11

## Tm3In3AgPdAu (GGA-PBE)

Data for Tm3In3AgPdAu after structural relaxation.

Unit cell a=7.846 b=7.846 c=3.724 alpha=90.00 beta=90.00 gamma=120.00
Fractional coordinates of all 9 atoms:
Tm  0.008  0.599  0.000
Tm  0.401  0.410  0.000
Tm  0.590  0.992  0.000
In  0.004  0.272  0.500
In  0.268  0.996  0.500
In  0.728  0.732  0.500
Ag  0.000  0.000  0.000
Pd  0.333  0.667  0.500
Au  0.667  0.333  0.500

Properties
Raw total energy in eV/f.u.: -38.92

## Y3In3AgPdAu (GGA-PBE)

Data for Y3In3AgPdAu after structural relaxation.

Unit cell a=7.816 b=7.816 c=3.894 alpha=90.00 beta=90.00 gamma=120.00
Fractional coordinates of all 9 atoms:
Y  0.007  0.411  0.000
Y  0.405  0.993  0.000
Y  0.589  0.595  0.000
In  0.005  0.738  0.500
In  0.262  0.267  0.500
In  0.733  0.995  0.500
Ag  0.000  0.000  0.000
Pd  0.333  0.667  0.500
Au  0.667  0.333  0.500

Properties
Raw total energy in eV/f.u.: -45.10